# CuN

A relaxed structure of CuN (GGA-PBE, Alexandria).

* formation energy (no corrections): 1.002 eV per atom
* total magnetic moment: 0.000 μB per cell
* energy above the most stable polymorph in this dataset: 625 meV per atom
* Fermi-level density of states: 1.282 states/eV per atom

Lattice parameters (Å, degrees): 3.0617 3.0617 5.3604 90.00 90.00 120.00
Space group P6_3mc (No. 186)
One atom of each set of equivalent atoms:
Cu (0.3333, 0.6667, 0.0000)
N (0.3333, 0.6667, 0.6405)